## CrP2Rh (PBE)

Data for crystalline CrP2Rh at its relaxed geometry.

Structure (CIF):
```
data_CrP2Rh
_chemical_formula_sum 'Cr2 P4 Rh2'
_cell_length_a 2.801
_cell_length_b 5.172
_cell_length_c 7.485
_cell_angle_alpha 90.00
_cell_angle_beta 90.00
_cell_angle_gamma 90.00
_space_group_name_H-M_alt 'I m m m'
_space_group_IT_number 71
_space_group_name_Hall '-I 2 2'
loop_
_atom_site_label
_atom_site_type_symbol
_atom_site_fract_x
_atom_site_fract_y
_atom_site_fract_z
Cr1 Cr 0.000 0.000 0.000
P1 P 0.000 0.500 0.259
Rh1 Rh 0.000 0.000 0.500
```

Summary:
E above lowest polymorph	164	kJ/mol of formula units
energy relative to the elements	0.04	eV per atom